## a
Below is an optimized crystal structure of Si2PtO, with properties calculated at the PBE level.

Structure (POSCAR):
```
Si2PtO
1.0
4.8000 0.0000 0.0000
0.0000 4.8000 0.0000
0.0000 0.0000 10.5091
Si Pt O
8 4 4
Direct
0.1839 0.2500 0.1250 Si
0.2500 0.6839 0.3750 Si
0.2500 0.8161 0.8750 Si
0.3161 0.2500 0.6250 Si
0.6839 0.7500 0.6250 Si
0.7500 0.1839 0.8750 Si
0.7500 0.3161 0.3750 Si
0.8161 0.7500 0.1250 Si
0.0000 0.0000 0.5000 Pt
0.0000 0.5000 0.7500 Pt
0.5000 0.0000 0.2500 Pt
0.5000 0.5000 0.0000 Pt
0.0000 0.0000 0.0000 O
0.0000 0.5000 0.2500 O
0.5000 0.0000 0.7500 O
0.5000 0.5000 0.5000 O
```

M_tot	0.00	μB/cell

## b
Below is an optimized crystal structure of Si2PtO, with properties calculated at the PBE level.

Structure (POSCAR):
```
Si2PtO
1.0
5.9492 0.0000 0.0000
0.0000 5.9492 0.0000
0.0000 0.0000 5.9492
Si Pt O
8 4 4
Direct
0.2500 0.2500 0.2500 Si
0.2500 0.2500 0.7500 Si
0.2500 0.7500 0.2500 Si
0.2500 0.7500 0.7500 Si
0.7500 0.2500 0.2500 Si
0.7500 0.2500 0.7500 Si
0.7500 0.7500 0.2500 Si
0.7500 0.7500 0.7500 Si
0.0000 0.0000 0.0000 Pt
0.0000 0.5000 0.5000 Pt
0.5000 0.0000 0.5000 Pt
0.5000 0.5000 0.0000 Pt
0.0000 0.0000 0.5000 O
0.0000 0.5000 0.0000 O
0.5000 0.0000 0.0000 O
0.5000 0.5000 0.5000 O
```

M_tot	0.00	μB/cell

Energy comparison, zero being the most stable, in meV/atom: a 0; b 588.

## a
Below is an optimized crystal structure of SiPtO2, with properties calculated at the PBE level.

Structure (POSCAR):
```
SiPtO2
1.0
2.6626 0.0000 0.0000
-1.3313 2.3059 0.0000
0.0000 0.0000 29.5706
Si Pt O
3 3 6
Direct
0.0000 0.0000 0.0000 Si
0.3333 0.6667 0.6667 Si
0.6667 0.3333 0.3333 Si
0.0000 0.0000 0.5000 Pt
0.3333 0.6667 0.1667 Pt
0.6667 0.3333 0.8333 Pt
0.0000 0.0000 0.3646 O
0.0000 0.0000 0.6354 O
0.3333 0.6667 0.0313 O
0.3333 0.6667 0.3020 O
0.6667 0.3333 0.6980 O
0.6667 0.3333 0.9687 O
```

M_tot	0.00	μB/cell

## b
Below is an optimized crystal structure of SiPtO2, with properties calculated at the PBE level.

Structure (POSCAR):
```
SiPtO2
1.0
5.6032 0.0000 0.0000
0.0000 5.6032 0.0000
0.0000 0.0000 5.6032
Si Pt O
4 4 8
Direct
0.0000 0.0000 0.0000 Si
0.0000 0.5000 0.5000 Si
0.5000 0.0000 0.5000 Si
0.5000 0.5000 0.0000 Si
0.0000 0.0000 0.5000 Pt
0.0000 0.5000 0.0000 Pt
0.5000 0.0000 0.0000 Pt
0.5000 0.5000 0.5000 Pt
0.2500 0.2500 0.2500 O
0.2500 0.2500 0.7500 O
0.2500 0.7500 0.2500 O
0.2500 0.7500 0.7500 O
0.7500 0.2500 0.2500 O
0.7500 0.2500 0.7500 O
0.7500 0.7500 0.2500 O
0.7500 0.7500 0.7500 O
```

M_tot	0.00	μB/cell

## c
Below is an optimized crystal structure of SiPtO2, with properties calculated at the PBE level.

Structure (POSCAR):
```
SiPtO2
1.0
5.2803 0.0000 0.0000
0.0000 5.2803 0.0000
0.0000 0.0000 7.4753
Si Pt O
4 4 8
Direct
0.0000 0.0000 0.0000 Si
0.0000 0.5000 0.2500 Si
0.5000 0.0000 0.7500 Si
0.5000 0.5000 0.5000 Si
0.0000 0.0000 0.5000 Pt
0.0000 0.5000 0.7500 Pt
0.5000 0.0000 0.2500 Pt
0.5000 0.5000 0.0000 Pt
0.0048 0.7500 0.1250 O
0.2500 0.0048 0.8750 O
0.2500 0.4952 0.3750 O
0.4952 0.7500 0.6250 O
0.5048 0.2500 0.6250 O
0.7500 0.5048 0.3750 O
0.7500 0.9952 0.8750 O
0.9952 0.2500 0.1250 O
```

M_tot	0.81	μB/cell

## d
Below is an optimized crystal structure of SiPtO2, with properties calculated at the PBE level.

Structure (POSCAR):
```
SiPtO2
1.0
2.8588 0.0000 0.0000
-1.4294 2.4758 0.0000
0.0000 0.0000 20.5390
Si Pt O
3 3 6
Direct
0.0000 0.0000 0.0000 Si
0.3333 0.6667 0.6667 Si
0.6667 0.3333 0.3333 Si
0.0000 0.0000 0.5000 Pt
0.3333 0.6667 0.1667 Pt
0.6667 0.3333 0.8333 Pt
0.0000 0.0000 0.0780 O
0.0000 0.0000 0.9220 O
0.3333 0.6667 0.5886 O
0.3333 0.6667 0.7447 O
0.6667 0.3333 0.2553 O
0.6667 0.3333 0.4114 O
```

M_tot	0.90	μB/cell

Energy comparison, zero being the most stable, in meV/atom: a 0; b 1976; c 508; d 1466.

## a
Below is an optimized crystal structure of Sm2PtO, with properties calculated at the PBE level.

Structure (POSCAR):
```
Sm2PtO
1.0
8.4763 0.0000 0.0000
0.0000 6.1372 0.0000
-1.2967 0.0000 6.4722
Sm Pt O
8 4 4
Direct
0.0791 0.2451 0.0258 Sm
0.0791 0.2549 0.5258 Sm
0.3551 0.6227 0.2988 Sm
0.3551 0.8773 0.7988 Sm
0.6449 0.1227 0.2012 Sm
0.6449 0.3773 0.7012 Sm
0.9209 0.7451 0.4742 Sm
0.9209 0.7549 0.9742 Sm
0.3657 0.1223 0.3936 Pt
0.3657 0.3777 0.8936 Pt
0.6343 0.6223 0.1064 Pt
0.6343 0.8777 0.6064 Pt
0.0705 0.5442 0.2641 O
0.0705 0.9558 0.7641 O
0.9295 0.0442 0.2359 O
0.9295 0.4558 0.7359 O
```

M_tot	0.00	μB/cell

## b
Below is an optimized crystal structure of Sm2PtO, with properties calculated at the PBE level.

Structure (POSCAR):
```
Sm2PtO
1.0
3.7595 0.0000 0.0000
-1.8798 3.2558 0.0000
0.0000 0.0000 20.1048
Sm Pt O
6 3 3
Direct
0.0000 0.0000 0.2383 Sm
0.0000 0.0000 0.7617 Sm
0.3333 0.6667 0.4283 Sm
0.3333 0.6667 0.9050 Sm
0.6667 0.3333 0.0950 Sm
0.6667 0.3333 0.5717 Sm
0.0000 0.0000 0.0000 Pt
0.3333 0.6667 0.6667 Pt
0.6667 0.3333 0.3333 Pt
0.0000 0.0000 0.5000 O
0.3333 0.6667 0.1667 O
0.6667 0.3333 0.8333 O
```

M_tot	0.00	μB/cell

Energy comparison, zero being the most stable, in meV/atom: a 0; b 85.

## a
Below is an optimized crystal structure of SnPt3O, with properties calculated at the PBE level.

Structure (POSCAR):
```
SnPt3O
1.0
4.9685 0.0000 0.0000
0.0000 4.9685 0.0000
0.0000 0.0000 4.9685
Sn Pt O
1 3 1
Direct
0.0000 0.0000 0.0000 Sn
0.0000 0.0000 0.5000 Pt
0.0000 0.5000 0.0000 Pt
0.5000 0.0000 0.0000 Pt
0.5000 0.5000 0.5000 O
```

M_tot	0.00	μB/cell

## b
Below is an optimized crystal structure of SnPt3O, with properties calculated at the PBE level.

Structure (POSCAR):
```
SnPt3O
1.0
4.3717 0.0000 0.0000
0.0000 4.3717 0.0000
0.0000 0.0000 4.3717
Sn Pt O
1 3 1
Direct
0.0000 0.0000 0.0000 Sn
0.0000 0.5000 0.5000 Pt
0.5000 0.0000 0.5000 Pt
0.5000 0.5000 0.0000 Pt
0.5000 0.5000 0.5000 O
```

M_tot	0.00	μB/cell

Energy comparison, zero being the most stable, in meV/atom: a 1279; b 0.

## a
Below is an optimized crystal structure of SrPt3O, with properties calculated at the PBE level.

Structure (POSCAR):
```
SrPt3O
1.0
5.2842 0.0000 0.0000
0.0000 5.2842 0.0000
0.0000 0.0000 5.2842
Sr Pt O
1 3 1
Direct
0.0000 0.0000 0.0000 Sr
0.0000 0.0000 0.5000 Pt
0.0000 0.5000 0.0000 Pt
0.5000 0.0000 0.0000 Pt
0.5000 0.5000 0.5000 O
```

M_tot	0.00	μB/cell

## b
Below is an optimized crystal structure of SrPt3O, with properties calculated at the PBE level.

Structure (POSCAR):
```
SrPt3O
1.0
4.4755 0.0000 0.0000
0.0000 4.4755 0.0000
0.0000 0.0000 4.4755
Sr Pt O
1 3 1
Direct
0.0000 0.0000 0.0000 Sr
0.0000 0.5000 0.5000 Pt
0.5000 0.0000 0.5000 Pt
0.5000 0.5000 0.0000 Pt
0.5000 0.5000 0.5000 O
```

M_tot	0.00	μB/cell

Energy comparison, zero being the most stable, in meV/atom: a 2275; b 0.

## a
Below is an optimized crystal structure of TaPt3O, with properties calculated at the PBE level.

Structure (POSCAR):
```
TaPt3O
1.0
4.2681 0.0000 0.0000
0.0000 4.2681 0.0000
0.0000 0.0000 4.2681
Ta Pt O
1 3 1
Direct
0.0000 0.0000 0.0000 Ta
0.0000 0.5000 0.5000 Pt
0.5000 0.0000 0.5000 Pt
0.5000 0.5000 0.0000 Pt
0.5000 0.5000 0.5000 O
```

M_tot	0.00	μB/cell

## b
Below is an optimized crystal structure of TaPt3O, with properties calculated at the PBE level.

Structure (POSCAR):
```
TaPt3O
1.0
4.8641 0.0000 0.0000
0.0000 4.8641 0.0000
0.0000 0.0000 4.8641
Ta Pt O
1 3 1
Direct
0.0000 0.0000 0.0000 Ta
0.0000 0.0000 0.5000 Pt
0.0000 0.5000 0.0000 Pt
0.5000 0.0000 0.0000 Pt
0.5000 0.5000 0.5000 O
```

M_tot	0.00	μB/cell

Energy comparison, zero being the most stable, in meV/atom: a 0; b 1167.

## a
Below is an optimized crystal structure of Tb2PtO, with properties calculated at the PBE level.

Structure (POSCAR):
```
Tb2PtO
1.0
5.8483 0.0000 0.0000
0.0000 5.8008 0.0000
-4.8150 0.0000 9.9483
Tb Pt O
8 4 4
Direct
0.0498 0.2382 0.0955 Tb
0.0498 0.7618 0.5955 Tb
0.3206 0.2053 0.8537 Tb
0.3206 0.7947 0.3537 Tb
0.6794 0.2053 0.6463 Tb
0.6794 0.7947 0.1463 Tb
0.9502 0.2382 0.4045 Tb
0.9502 0.7618 0.9045 Tb
0.4149 0.3018 0.3634 Pt
0.4149 0.6982 0.8634 Pt
0.5851 0.3018 0.1366 Pt
0.5851 0.6982 0.6366 Pt
0.0385 0.1452 0.6234 O
0.0385 0.8548 0.1234 O
0.9615 0.1452 0.8766 O
0.9615 0.8548 0.3766 O
```

M_tot	0.00	μB/cell

## b
Below is an optimized crystal structure of Tb2PtO, with properties calculated at the PBE level.

Structure (POSCAR):
```
Tb2PtO
1.0
3.6631 0.0000 0.0000
-1.8315 3.1723 0.0000
0.0000 0.0000 19.9888
Tb Pt O
6 3 3
Direct
0.0000 0.0000 0.2380 Tb
0.0000 0.0000 0.7620 Tb
0.3333 0.6667 0.4287 Tb
0.3333 0.6667 0.9046 Tb
0.6667 0.3333 0.0954 Tb
0.6667 0.3333 0.5713 Tb
0.0000 0.0000 0.0000 Pt
0.3333 0.6667 0.6667 Pt
0.6667 0.3333 0.3333 Pt
0.0000 0.0000 0.5000 O
0.3333 0.6667 0.1667 O
0.6667 0.3333 0.8333 O
```

M_tot	0.00	μB/cell

Energy comparison, zero being the most stable, in meV/atom: a 0; b 106.

## a
Below is an optimized crystal structure of TcPt2O2, with properties calculated at the PBE level.

Structure (POSCAR):
```
TcPt2O2
1.0
5.3352 0.0000 0.0000
0.0000 5.3352 0.0000
0.0000 0.0000 4.6706
Tc Pt O
2 4 4
Direct
0.0000 0.0000 0.0000 Tc
0.5000 0.5000 0.0000 Tc
0.1874 0.3126 0.5000 Pt
0.3126 0.8126 0.5000 Pt
0.6874 0.1874 0.5000 Pt
0.8126 0.6874 0.5000 Pt
0.1929 0.3071 0.0000 O
0.3071 0.8071 0.0000 O
0.6929 0.1929 0.0000 O
0.8071 0.6929 0.0000 O
```

M_tot	0.00	μB/cell

## b
Below is an optimized crystal structure of TcPt2O2, with properties calculated at the PBE level.

Structure (POSCAR):
```
TcPt2O2
1.0
3.4506 0.0000 0.0000
0.0000 3.4506 0.0000
0.0000 0.0000 10.8509
Tc Pt O
2 4 4
Direct
0.0000 0.0000 0.0000 Tc
0.5000 0.5000 0.5000 Tc
0.0000 0.0000 0.3779 Pt
0.0000 0.0000 0.6221 Pt
0.5000 0.5000 0.1221 Pt
0.5000 0.5000 0.8779 Pt
0.0000 0.5000 0.2500 O
0.0000 0.5000 0.7500 O
0.5000 0.0000 0.2500 O
0.5000 0.0000 0.7500 O
```

M_tot	3.24	μB/cell

Energy comparison, zero being the most stable, in meV/atom: a 0; b 643.